Below is crystalline InIr2W at its relaxed geometry, with properties calculated at the GGA-PBE level.

calculated volume	65	Å³/cell
calculated formation energy	13	kJ/mol of formula units
magnetization	0.000	μB per cell
Fermi-level density of states	2.0	states/eV/f.u.
total energy	-8.319	eV/atom

Cell: 4.8060 4.8060 2.8866 Å, 90.00 90.00 104.57°
Last column: nearest neighbours and their distance in Å.
Fractional coordinates of all 4 atoms:
In 0.0000 0.0000 0.0000  8 Ir 2.80, 2 In 2.89, 2 W 2.94
Ir 0.0000 0.5000 0.5000  4 In 2.80, 4 W 2.80, 4 Ir 2.89-2.94
Ir 0.5000 0.0000 0.5000  4 In 2.80, 4 W 2.80, 4 Ir 2.89-2.94
W 0.5000 0.5000 0.0000  8 Ir 2.80, 2 W 2.89, 2 In 2.94